This record from Alexandria via LeMat-Bulk describes OsRu2S after structural relaxation. The functional is PBE-GGA.

Lattice parameters (Å, degrees): 2.8543 4.3483 5.2043 78.78 74.10 70.96
Space group P1 (No. 1)
Asymmetric unit:
Os (0.0000, 0.0000, 0.0000) (multiplicity 1)
Ru (0.1869, 0.4251, 0.2031) (multiplicity 1)
Ru (0.4431, 0.4557, 0.6606) (multiplicity 1)
S (0.8171, 0.8940, 0.4770) (multiplicity 1)

* total moment: 0.00 μB per cell
* Fermi-level density of states: 0.79 states/eV/atom
* total energy: -8.10 eV/atom